# Sc3Ga5Te12 GGA-PBE optimized geometry
data_Sc3Ga5Te12
_symmetry_space_group_name_H-M 'I a -3 d'
_symmetry_Int_Tables_number 230
_symmetry_space_group_name_Hall '-I 4bd 2c 3'
_cell_length_a 16.924
_cell_length_b 16.924
_cell_length_c 16.924
_cell_angle_alpha 90.00
_cell_angle_beta 90.00
_cell_angle_gamma 90.00
loop_
_atom_site_label
_atom_site_fract_x
_atom_site_fract_y
_atom_site_fract_z
_atom_site_occupancy
Sc1 0.000 0.250 0.125 1
Ga1 0.000 0.000 0.000 1
Ga2 0.000 0.250 0.375 1
Te1 0.022 0.065 0.653 1
# Formation energy from raw total energies, eV per formula unit: -9.9
# Crystal system: cubic

---

# Sr2InPb4 GGA-PBE optimized geometry
data_Sr2InPb4
_symmetry_space_group_name_H-M 'F m m m'
_symmetry_Int_Tables_number 69
_symmetry_space_group_name_Hall '-F 2 2'
_cell_length_a 6.690
_cell_length_b 10.964
_cell_length_c 13.287
_cell_angle_alpha 90.00
_cell_angle_beta 90.00
_cell_angle_gamma 90.00
loop_
_atom_site_label
_atom_site_fract_x
_atom_site_fract_y
_atom_site_fract_z
_atom_site_occupancy
Sr1 0.000 0.000 0.147 1
In1 0.000 0.000 0.500 1
Pb1 0.250 0.250 0.000 1
Pb2 0.250 0.250 0.250 1
# Calculated total energy, eV for the cell shown: -90.2
# Crystal system: orthorhombic

---

# Ga2Pt7Rh2 GGA-PBE optimized geometry
data_Ga2Pt7Rh2
_symmetry_space_group_name_H-M 'P -1'
_symmetry_Int_Tables_number 2
_symmetry_space_group_name_Hall '-P 1'
_cell_length_a 4.667
_cell_length_b 5.389
_cell_length_c 7.259
_cell_angle_alpha 98.54
_cell_angle_beta 94.49
_cell_angle_gamma 97.60
loop_
_atom_site_label
_atom_site_fract_x
_atom_site_fract_y
_atom_site_fract_z
_atom_site_occupancy
Ga1 0.231 0.274 0.237 1
Pt1 0.000 0.500 0.500 1
Pt2 0.253 0.037 0.911 1
Pt3 0.273 0.105 0.551 1
Pt4 0.292 0.526 0.855 1
Rh1 0.236 0.768 0.221 1
# Calculated total energy, eV for the cell shown: -64.8
# Crystal system: triclinic

---

# Ce2CdHg6 GGA-PBE optimized geometry
data_Ce2CdHg6
_symmetry_space_group_name_H-M 'C 1 2/m 1'
_symmetry_Int_Tables_number 12
_symmetry_space_group_name_Hall '-C 2y'
_cell_length_a 8.490
_cell_length_b 8.896
_cell_length_c 6.062
_cell_angle_alpha 90.00
_cell_angle_beta 94.29
_cell_angle_gamma 90.00
loop_
_atom_site_label
_atom_site_fract_x
_atom_site_fract_y
_atom_site_fract_z
_atom_site_occupancy
Ce1 0.165 0.000 0.167 1
Cd1 0.000 0.500 0.500 1
Hg1 0.000 0.336 0.000 1
Hg2 0.168 0.168 0.666 1
# Calculated total energy, eV for the cell shown: -33.1
# Crystal system: monoclinic

---

# Ac12Nd5Sm2 GGA-PBE optimized geometry
data_Ac12Nd5Sm2
_symmetry_space_group_name_H-M 'C 1 2/m 1'
_symmetry_Int_Tables_number 12
_symmetry_space_group_name_Hall '-C 2y'
_cell_length_a 19.306
_cell_length_b 12.553
_cell_length_c 6.685
_cell_angle_alpha 90.00
_cell_angle_beta 103.10
_cell_angle_gamma 90.00
loop_
_atom_site_label
_atom_site_fract_x
_atom_site_fract_y
_atom_site_fract_z
_atom_site_occupancy
Ac1 0.061 0.000 0.273 1
Ac2 0.102 0.252 0.628 1
Ac3 0.108 0.500 0.013 1
Ac4 0.196 0.240 0.204 1
Nd1 0.000 0.500 0.500 1
Nd2 0.187 0.000 0.858 1
Nd3 0.212 0.500 0.564 1
Sm1 0.000 0.259 0.000 1
# Calculated total energy, eV for the cell shown: -161.0
# Crystal system: monoclinic

---

# Fe2AuBr GGA-PBE optimized geometry
data_Fe2AuBr
_symmetry_space_group_name_H-M 'I -4 2 d'
_symmetry_Int_Tables_number 122
_symmetry_space_group_name_Hall 'I -4 2bw'
_cell_length_a 5.789
_cell_length_b 5.789
_cell_length_c 11.101
_cell_angle_alpha 90.00
_cell_angle_beta 90.00
_cell_angle_gamma 90.00
loop_
_atom_site_label
_atom_site_fract_x
_atom_site_fract_y
_atom_site_fract_z
_atom_site_occupancy
Fe1 0.250 0.250 0.125 1
Au1 0.000 0.000 0.000 1
Br1 0.000 0.000 0.500 1
# Formation energy from raw total energies, eV per formula unit: 2.9
# Crystal system: tetragonal

---

# Pm4DyTm GGA-PBE optimized geometry
data_Pm4DyTm
_symmetry_space_group_name_H-M 'C 1 2/c 1'
_symmetry_Int_Tables_number 15
_symmetry_space_group_name_Hall '-C 2yc'
_cell_length_a 12.157
_cell_length_b 5.688
_cell_length_c 12.120
_cell_angle_alpha 90.00
_cell_angle_beta 108.74
_cell_angle_gamma 90.00
loop_
_atom_site_label
_atom_site_fract_x
_atom_site_fract_y
_atom_site_fract_z
_atom_site_occupancy
Pm1 0.049 0.249 0.451 1
Pm2 0.216 0.264 0.284 1
Dy1 0.000 0.247 0.750 1
Tm1 0.250 0.250 0.000 1
# Calculated total energy, eV for the cell shown: -110.9
# Crystal system: monoclinic

---

# Mg2SiMo GGA-PBE optimized geometry
data_Mg2SiMo
_symmetry_space_group_name_H-M 'I -4 m 2'
_symmetry_Int_Tables_number 119
_symmetry_space_group_name_Hall 'I -4 -2'
_cell_length_a 3.915
_cell_length_b 3.915
_cell_length_c 8.376
_cell_angle_alpha 90.00
_cell_angle_beta 90.00
_cell_angle_gamma 90.00
loop_
_atom_site_label
_atom_site_fract_x
_atom_site_fract_y
_atom_site_fract_z
_atom_site_occupancy
Mg1 0.000 0.000 0.000 1
Mg2 0.000 0.500 0.250 1
Si1 0.000 0.500 0.750 1
Mo1 0.000 0.000 0.500 1
# Formation energy from raw total energies, eV per formula unit: 0.1
# Crystal system: tetragonal

---

# MgTe2RuI GGA-PBE optimized geometry
data_MgTe2RuI
_symmetry_space_group_name_H-M 'P 4/m m m'
_symmetry_Int_Tables_number 123
_symmetry_space_group_name_Hall '-P 4 2'
_cell_length_a 5.455
_cell_length_b 5.455
_cell_length_c 5.527
_cell_angle_alpha 90.00
_cell_angle_beta 90.00
_cell_angle_gamma 90.00
loop_
_atom_site_label
_atom_site_fract_x
_atom_site_fract_y
_atom_site_fract_z
_atom_site_occupancy
Mg1 0.000 0.000 0.000 1
Te1 0.000 0.500 0.000 1
Ru1 0.500 0.500 0.500 1
I1 0.000 0.000 0.500 1
# Formation energy from raw total energies, eV per formula unit: 4.5
# Crystal system: tetragonal

---

# MnCo2Ru GGA-PBE optimized geometry
data_MnCo2Ru
_symmetry_space_group_name_H-M 'I -4 2 d'
_symmetry_Int_Tables_number 122
_symmetry_space_group_name_Hall 'I -4 2bw'
_cell_length_a 3.446
_cell_length_b 3.446
_cell_length_c 16.660
_cell_angle_alpha 90.00
_cell_angle_beta 90.00
_cell_angle_gamma 90.00
loop_
_atom_site_label
_atom_site_fract_x
_atom_site_fract_y
_atom_site_fract_z
_atom_site_occupancy
Mn1 0.000 0.000 0.000 1
Co1 0.238 0.250 0.125 1
Ru1 0.000 0.000 0.500 1
# Calculated total energy, eV for the cell shown: -121.1
# Crystal system: tetragonal

---

# CuSiHg GGA-PBE optimized geometry
data_CuSiHg
_symmetry_space_group_name_H-M 'I m m 2'
_symmetry_Int_Tables_number 44
_symmetry_space_group_name_Hall 'I 2 -2'
_cell_length_a 2.691
_cell_length_b 3.784
_cell_length_c 10.954
_cell_angle_alpha 90.00
_cell_angle_beta 90.00
_cell_angle_gamma 90.00
loop_
_atom_site_label
_atom_site_fract_x
_atom_site_fract_y
_atom_site_fract_z
_atom_site_occupancy
Cu1 0.000 0.000 0.000 1
Si1 0.000 0.000 0.428 1
Hg1 0.000 0.000 0.707 1
# Formation energy from raw total energies, eV per formula unit: 1.0
# Crystal system: orthorhombic

---

# PmNd8Tm2 GGA-PBE optimized geometry
data_PmNd8Tm2
_symmetry_space_group_name_H-M 'C 1 2/m 1'
_symmetry_Int_Tables_number 12
_symmetry_space_group_name_Hall '-C 2y'
_cell_length_a 19.461
_cell_length_b 7.096
_cell_length_c 5.700
_cell_angle_alpha 90.00
_cell_angle_beta 93.23
_cell_angle_gamma 90.00
loop_
_atom_site_label
_atom_site_fract_x
_atom_site_fract_y
_atom_site_fract_z
_atom_site_occupancy
Pm1 0.000 0.000 0.000 1
Nd1 0.045 0.500 0.238 1
Nd2 0.134 0.269 0.732 1
Nd3 0.188 0.000 0.232 1
Tm1 0.215 0.500 0.254 1
# Calculated total energy, eV for the cell shown: -100.5
# Crystal system: monoclinic

---

Number 1: mass density 5.521 Mg/m³. Number 2: mass density 7.626 Mg/m³. Number 3: mass density 15.954 Mg/m³. Number 4: mass density 11.611 Mg/m³. Number 5: mass density 7.884 Mg/m³. Number 6: mass density 6.936 Mg/m³. Number 7: mass density 7.628 Mg/m³. Number 8: mass density 4.466 Mg/m³. Number 9: mass density 5.125 Mg/m³. Number 10: mass density 9.197 Mg/m³. Number 11: mass density 8.699 Mg/m³. Number 12: mass density 6.917 Mg/m³.